(1)
Density functional theory data (PBE) for crystalline Si12CO24 at its relaxed geometry.

a = 11.362 Å, b = 11.362 Å, c = 5.233 Å
α = 89.99°, β = 89.99°, γ = 76.88°
Atoms (fractional coordinates):
O: 0.305 0.305 0.095
O: 0.476 0.660 0.474
O: 0.256 0.715 0.674
O: 0.125 0.311 0.467
O: 0.646 0.108 0.999
O: 0.660 0.476 0.474
O: 0.483 0.008 0.777
O: 0.008 0.483 0.777
O: 0.715 0.256 0.674
O: 0.686 0.871 0.970
O: 0.516 0.990 0.278
O: 0.890 0.352 0.499
O: 0.525 0.340 0.970
O: 0.311 0.125 0.467
O: 0.742 0.284 0.175
O: 0.347 0.347 0.618
O: 0.660 0.660 0.161
O: 0.352 0.890 0.499
O: 0.340 0.525 0.970
O: 0.686 0.686 0.661
O: 0.108 0.646 0.999
O: 0.871 0.686 0.970
O: 0.284 0.742 0.175
O: 0.990 0.516 0.278
C: 0.241 0.241 0.955
Si: 0.253 0.253 0.607
Si: 0.622 0.622 0.443
Si: 0.383 0.383 0.908
Si: 0.725 0.725 0.942
Si: 0.003 0.416 0.504
Si: 0.657 0.246 0.955
Si: 0.416 0.003 0.504
Si: 0.994 0.582 0.005
Si: 0.582 0.994 0.005
Si: 0.751 0.343 0.455
Si: 0.246 0.657 0.955
Si: 0.343 0.751 0.455

Summary:
Calculated total energy in eV per atom: -7.78

---

(2)
Density functional theory data (PBE) for crystalline ScTcPb2 at its relaxed geometry.

a = 4.999 Å, b = 4.999 Å, c = 5.459 Å
α = 78.86°, β = 78.86°, γ = 41.06°
Atoms (fractional coordinates):
Pb: 0.988 0.988 0.022
Pb: 0.512 0.512 0.478
Tc: 0.250 0.250 0.250
Sc: 0.750 0.750 0.750

Summary:
E above lowest polymorph in meV per atom: 121
ΔE_f in eV per atom: 0.196

---

(3)
Density functional theory data (PBE) for crystalline NdEr2Zn6 at its relaxed geometry.

a = 3.509 Å, b = 7.794 Å, c = 7.792 Å
α = 120.01°, β = 89.96°, γ = 90.00°
Atoms (fractional coordinates):
Zn: 0.500 0.663 0.000
Zn: 0.501 0.663 0.663
Zn: 0.499 0.337 0.337
Zn: 0.500 0.337 0.000
Zn: 0.501 0.000 0.663
Zn: 0.499 0.000 0.337
Er: 0.000 0.333 0.667
Er: 0.000 0.667 0.333
Nd: 0.000 0.000 0.000

Summary:
ΔE_f in eV per atom: -0.363